# 1
## KSbTe (PBE)

Data for a relaxed KSbTe crystal.

Unit cell a=3.4033 b=3.4033 c=9.9295 alpha=90.00 beta=90.00 gamma=120.00
Space group P3m1 (No. 156)
Inequivalent atoms, fractional coordinates:
K1 0.0000 0.0000 0.0000
Sb1 0.3333 0.6667 0.3064
Te1 0.6667 0.3333 0.7103

Properties
energy relative to the lowest polymorph listed for this composition: 550.1 meV/atom
E_form (uncorrected): 9 kJ per mole of atoms

---

# 2
## GeMoRh (PBE)

Data for a relaxed GeMoRh crystal.

Unit cell a=2.9470 b=2.9470 c=12.1067 alpha=90.00 beta=90.00 gamma=120.00
Space group P-6m2 (No. 187)
Inequivalent atoms, fractional coordinates:
Ge1 0.0000 0.0000 0.1681
Mo1 0.0000 0.0000 0.5000
Mo2 0.3333 0.6667 0.0000
Rh1 0.3333 0.6667 0.3241

Properties
energy relative to the lowest polymorph listed for this composition: 21.0 meV/atom
energy relative to the elements: -106.6 meV/atom

---

# 3
## Ru3Se (PBE)

Data for a relaxed Ru3Se crystal.

Unit cell a=3.7828 b=6.7605 c=4.7416 alpha=90.00 beta=90.00 gamma=90.00
Space group Pmmn (No. 59, origin choice 2)
Inequivalent atoms, fractional coordinates:
Ru1 0.2500 0.0444 0.1893
Ru2 0.2500 0.2500 0.7289
Se1 0.2500 0.7500 0.6037

Properties
E_form (uncorrected): 36 kJ per mole of atoms

---

# 4
## TaSbRu2 (PBE)

Data for a relaxed TaSbRu2 crystal.

Unit cell a=2.9900 b=2.9900 c=26.3572 alpha=90.00 beta=90.00 gamma=120.00
Space group R3m (No. 160, hexagonal axes)
Inequivalent atoms, fractional coordinates:
Ta1 0.0000 0.0000 0.0000
Sb1 0.0000 0.0000 0.7585
Ru1 0.0000 0.0000 0.2530
Ru2 0.0000 0.0000 0.5059

Properties
E_form (uncorrected): 30 kJ per mole of atoms

---

# 5
## SrIrN2 (PBE)

Data for a relaxed SrIrN2 crystal.

Unit cell a=5.0071 b=5.0071 c=10.5455 alpha=90.00 beta=90.00 gamma=90.00
Space group I-42d (No. 122)
Inequivalent atoms, fractional coordinates:
Sr1 0.0000 0.0000 0.0000
Ir1 0.0000 0.0000 0.5000
N1 0.1496 0.2500 0.6250

Properties
energy relative to the lowest polymorph listed for this composition: 83.3 meV/atom
E_form (uncorrected): 2 kJ per mole of atoms

---

# 6
## HoTmGaCu (PBE)

Data for a relaxed HoTmGaCu crystal.

Unit cell a=7.0036 b=7.0036 c=7.0036 alpha=90.00 beta=90.00 gamma=90.00
Space group F-43m (No. 216)
Inequivalent atoms, fractional coordinates:
Ho1 0.0000 0.0000 0.0000
Tm1 0.0000 0.0000 0.5000
Ga1 0.2500 0.2500 0.2500
Cu1 0.2500 0.2500 0.7500

Properties
energy relative to the elements: -432.2 meV/atom

---

# 7
## KIn4Ag (PBE)

Data for a relaxed KIn4Ag crystal.

Unit cell a=8.8275 b=8.8275 c=8.8275 alpha=90.00 beta=90.00 gamma=90.00
Space group F-43m (No. 216)
Inequivalent atoms, fractional coordinates:
K1 0.0000 0.0000 0.0000
In1 0.1247 0.1247 0.3753
Ag1 0.2500 0.2500 0.7500

Properties
energy relative to the lowest polymorph listed for this composition: 174.4 meV/atom
energy relative to the elements: 90.4 meV/atom

---

# 8
## Na3OsI2F6 (PBE)

Data for a relaxed Na3OsI2F6 crystal.

Unit cell a=15.2271 b=7.0324 c=5.2186 alpha=90.00 beta=90.54 gamma=90.00
Space group C2/m (No. 12)
Inequivalent atoms, fractional coordinates:
Na1 0.0000 0.0000 0.0000
Na2 0.2500 0.2500 0.5000
Os1 0.0000 0.5000 0.5000
I1 0.1959 0.0000 0.0071
F1 0.0058 0.2991 0.7474
F2 0.1282 0.5000 0.4837

Properties
E_form (uncorrected): -171 kJ per mole of atoms

---

# 9
## MgH12SeO9 (PBE)

Data for a relaxed MgH12SeO9 crystal.

Unit cell a=3.4937 b=7.2739 c=9.7351 alpha=95.98 beta=99.43 gamma=93.56
Space group P1 (No. 1)
Inequivalent atoms, fractional coordinates:
Mg1 0.0000 0.0000 0.0000
H1 0.0714 0.3222 0.5637
H2 0.0809 0.4794 0.3591
H3 0.1122 0.2418 0.2311
H4 0.2818 0.0464 0.2668
H5 0.4008 0.0848 0.8297
H6 0.4852 0.8045 0.3226
H7 0.5246 0.6552 0.0201
H8 0.5815 0.8713 0.3846
H9 0.7610 0.4713 0.8758
H10 0.8778 0.1888 0.7052
H11 0.9280 0.9853 0.6386
H12 0.9817 0.5113 0.1969
Se1 0.0402 0.6025 0.7002
O1 0.0553 0.1136 0.6587
O2 0.0726 0.7281 0.9896
O3 0.0815 0.0991 0.2042
O4 0.1561 0.4511 0.2662
O5 0.4777 0.0629 0.9280
O6 0.7326 0.7532 0.6405
O7 0.7473 0.4276 0.7727
O8 0.7844 0.5955 0.0317
O9 0.9990 0.4462 0.5379

Properties
energy relative to the lowest polymorph listed for this composition: 257.6 meV/atom

---

# 10
## HfNb3P (PBE)

Data for a relaxed HfNb3P crystal.

Unit cell a=8.8765 b=3.4686 c=11.7449 alpha=90.00 beta=90.00 gamma=90.00
Space group Pnma (No. 62)
Inequivalent atoms, fractional coordinates:
Hf1 0.1615 0.2500 0.0162
Nb1 0.0525 0.2500 0.4163
Nb2 0.0894 0.7500 0.2255
Nb3 0.1604 0.7500 0.7894
P1 0.1518 0.2500 0.6278

Properties
energy relative to the lowest polymorph listed for this composition: 0.0 meV/atom
energy relative to the elements: -546.2 meV/atom

---

# 11
## TbDy3Mg12 (PBE)

Data for a relaxed TbDy3Mg12 crystal.

Unit cell a=4.6293 b=4.6293 c=18.9913 alpha=90.00 beta=90.00 gamma=90.00
Space group P4/mmm (No. 123)
Inequivalent atoms, fractional coordinates:
Tb1 0.0000 0.0000 0.0000
Dy1 0.0000 0.0000 0.2503
Dy2 0.0000 0.0000 0.5000
Mg1 0.0000 0.5000 0.1254
Mg2 0.0000 0.5000 0.3752
Mg3 0.5000 0.5000 0.0000
Mg4 0.5000 0.5000 0.2508
Mg5 0.5000 0.5000 0.5000

Properties
energy relative to the elements: -60.1 meV/atom

---

# 12
## LaCd2In2 (PBE)

Data for a relaxed LaCd2In2 crystal.

Unit cell a=4.6733 b=4.6733 c=12.2107 alpha=90.00 beta=90.00 gamma=90.00
Space group P4/nmm (No. 129, origin choice 2)
Inequivalent atoms, fractional coordinates:
La1 0.2500 0.2500 0.2482
Cd1 0.2500 0.2500 0.6407
Cd2 0.2500 0.7500 0.0000
In1 0.2500 0.2500 0.8617
In2 0.2500 0.7500 0.5000

Properties
energy relative to the elements: -313.8 meV/atom

---

# 13
## V2HN (PBE)

Data for a relaxed V2HN crystal.

Unit cell a=2.9329 b=2.9329 c=16.2741 alpha=90.00 beta=90.00 gamma=120.00
Space group R-3m (No. 166, hexagonal axes)
Inequivalent atoms, fractional coordinates:
V1 0.0000 0.0000 0.1020
H1 0.0000 0.0000 0.0000
N1 0.0000 0.0000 0.5000

Properties
energy relative to the lowest polymorph listed for this composition: 370.3 meV/atom

---

# 14
## Li2LaIn (PBE)

Data for a relaxed Li2LaIn crystal.

Unit cell a=10.1015 b=3.2477 c=6.0918 alpha=90.00 beta=97.43 gamma=90.00
Space group C2/m (No. 12)
Inequivalent atoms, fractional coordinates:
Li1 0.2361 0.0000 0.1943
La1 0.0000 0.0000 0.5000
In1 0.0000 0.5000 0.0000

Properties
energy relative to the elements: -160.4 meV/atom

---

# 15
## Sc2TiTlO (PBE)

Data for a relaxed Sc2TiTlO crystal.

Unit cell a=4.5311 b=4.5311 c=4.1384 alpha=90.00 beta=90.00 gamma=90.00
Space group P4/mmm (No. 123)
Inequivalent atoms, fractional coordinates:
Sc1 0.0000 0.5000 0.0000
Ti1 0.0000 0.0000 0.5000
Tl1 0.5000 0.5000 0.5000
O1 0.0000 0.0000 0.0000

Properties
E_form (uncorrected): -121 kJ per mole of atoms

---

# 16
## La2SnHPb (PBE)

Data for a relaxed La2SnHPb crystal.

Unit cell a=5.0604 b=5.0604 c=4.8850 alpha=90.00 beta=90.00 gamma=90.00
Space group P4/mmm (No. 123)
Inequivalent atoms, fractional coordinates:
La1 0.0000 0.5000 0.0000
Sn1 0.0000 0.0000 0.5000
H1 0.5000 0.5000 0.0000
Pb1 0.5000 0.5000 0.5000

Properties
total DFT energy (no corrections): -23.260 eV/cell

---

# 17
## KRb3Cd3 (PBE)

Data for a relaxed KRb3Cd3 crystal.

Unit cell a=8.8555 b=8.8555 c=30.6108 alpha=90.00 beta=90.00 gamma=120.00
Space group R-3m (No. 166, hexagonal axes)
Inequivalent atoms, fractional coordinates:
K1 0.0000 0.0000 0.0644
Rb1 0.0041 0.5020 0.8990
Cd1 0.0916 0.5458 0.3331

Properties
energy relative to the lowest polymorph listed for this composition: 0.0 meV/atom
energy relative to the elements: -26.9 meV/atom

---

# 18
## AcPr5Dy2Tm (PBE)

Data for a relaxed AcPr5Dy2Tm crystal.

Unit cell a=5.5936 b=24.6487 c=9.5395 alpha=90.00 beta=90.00 gamma=90.00
Space group Cmc2_1 (No. 36)
Inequivalent atoms, fractional coordinates:
Ac1 0.0000 0.1023 0.0000
Pr1 0.0000 0.0243 0.3282
Pr2 0.0000 0.1076 0.6052
Pr3 0.0000 0.1903 0.2945
Pr4 0.0000 0.2414 0.9344
Pr5 0.0000 0.4895 0.1117
Dy1 0.0000 0.3255 0.2506
Dy2 0.0000 0.3877 0.8555
Tm1 0.0000 0.2635 0.6075

Properties
energy relative to the elements: 141.5 meV/atom

---

# 19
## BaNpB2O6 (PBE)

Data for a relaxed BaNpB2O6 crystal.

Unit cell a=8.3792 b=10.0590 c=6.8362 alpha=90.00 beta=109.03 gamma=90.00
Space group C2/c (No. 15)
Inequivalent atoms, fractional coordinates:
Ba1 0.0000 0.1380 0.2500
Np1 0.0000 0.4015 0.7500
B1 0.2409 0.3792 0.2563
O1 0.0833 0.3847 0.1000
O2 0.1675 0.2372 0.7088
O3 0.2154 0.0108 0.6189

Properties
E_form (uncorrected): -266 kJ per mole of atoms

---

# 20
## ReTc4Os (PBE)

Data for a relaxed ReTc4Os crystal.

Unit cell a=5.2524 b=7.4550 c=5.2624 alpha=90.00 beta=117.56 gamma=90.00
Space group C2/m (No. 12)
Inequivalent atoms, fractional coordinates:
Re1 0.0000 0.0000 0.0000
Tc1 0.2486 0.3149 0.2515
Os1 0.0000 0.5000 0.5000

Properties
energy relative to the lowest polymorph listed for this composition: 366.9 meV/atom
energy relative to the elements: 334.7 meV/atom

---

# 21
## Pr3Nd4Ho2 (PBE)

Data for a relaxed Pr3Nd4Ho2 crystal.

Unit cell a=3.6502 b=3.6502 c=27.3200 alpha=90.00 beta=90.00 gamma=120.00
Space group P3m1 (No. 156)
Inequivalent atoms, fractional coordinates:
Pr1 0.0000 0.0000 0.0000
Pr2 0.0000 0.0000 0.3359
Pr3 0.6667 0.3333 0.6720
Nd1 0.0000 0.0000 0.5596
Nd2 0.0000 0.0000 0.7855
Nd3 0.6667 0.3333 0.2278
Nd4 0.6667 0.3333 0.4500
Ho1 0.6667 0.3333 0.1040
Ho2 0.6667 0.3333 0.8902

Properties
energy relative to the lowest polymorph listed for this composition: 56.5 meV/atom
energy relative to the elements: 71.5 meV/atom

---

# 22
## SrSeCl2 (PBE)

Data for a relaxed SrSeCl2 crystal.

Unit cell a=4.6133 b=5.2945 c=5.0478 alpha=90.00 beta=111.58 gamma=90.00
Space group Pm (No. 6)
Inequivalent atoms, fractional coordinates:
Sr1 0.0000 0.0000 0.0000
Se1 0.6593 0.5000 0.1716
Cl1 0.3305 0.0000 0.6086
Cl2 0.8328 0.5000 0.6558

Properties
energy relative to the lowest polymorph listed for this composition: 34.9 meV/atom
E_form (uncorrected): -140 kJ per mole of atoms

---

# 23
## LiAgRu2 (PBE)

Data for a relaxed LiAgRu2 crystal.

Unit cell a=2.6948 b=2.6948 c=28.3652 alpha=90.00 beta=90.00 gamma=120.00
Space group R-3m (No. 166, hexagonal axes)
Inequivalent atoms, fractional coordinates:
Li1 0.0000 0.0000 0.0000
Ag1 0.0000 0.0000 0.5000
Ru1 0.0000 0.0000 0.2532

Properties
energy relative to the lowest polymorph listed for this composition: 244.0 meV/atom
energy relative to the elements: 418.4 meV/atom